# TbThAl2 PBE optimized geometry
# D(E_F) ... 4.19 states/eV/f.u.
# ΔH_f (0 K) ... -339.9 meV per atom
# Energy relative to the lowest polymorph listed for this composition ... 0.00 eV per formula unit
# Electronic total energy ... -5.224 eV/atom
# M_tot ... 0.0 μB/f.u.
data_TbThAl2
_space_group_name_H-M_alt 'P m c 21'
_space_group_IT_number 26
_cell_length_a 4.188
_cell_length_b 6.025
_cell_length_c 8.324
_cell_angle_alpha 90.00
_cell_angle_beta 90.00
_cell_angle_gamma 90.00
loop_
_space_group_symop_operation_xyz
'x,y,z'
'-x,-y,z+1/2'
'-x,y,z'
'x,-y,z+1/2'
loop_
_atom_site_label
_atom_site_fract_x
_atom_site_fract_y
_atom_site_fract_z
Tb1 0.000 0.134 0.000
Th1 0.500 0.366 0.357
Al1 0.000 0.375 0.644
Al2 0.500 0.124 0.714